First-principles (GGA+U) data for FePt2PbO8 after structural relaxation, as listed in the Alexandria database.

As for the total energy: -5.3532 eV/atom. The calculation puts the total moment at 3.96 μB per cell.

The space group is P-3 (No. 147) and the conventional cell measures 5.5401, 5.5401 and 6.1507 Å, with angles of 90.00, 90.00 and 120.00 degrees. The distinct sites, in fractional coordinates, are Fe at (0.0000, 0.0000, 0.0000), Pt at (0.3333, 0.6667, 0.9493), Pb at (0.0000, 0.0000, 0.5000), O at (0.0546, 0.3677, 0.1437) and O at (0.3333, 0.6667, 0.6369).